[1]
Compound: Hf4SiB
Source: Alexandria via LeMat-Bulk
Functional: GGA-PBE
Structure: optimized geometry

Cell and atoms, written as extended XYZ:
```
12
Lattice="-2.394 1.646 -4.488 -5.207 -3.467 1.506 0.189 5.256 5.011" Properties=species:S:1:pos:R:3 pbc="T T T"
B -3.706 1.717 1.014
Si -3.404 0.579 -3.565
Hf -3.854 3.672 -0.322
Hf -0.901 4.650 2.776
Hf -3.558 -0.238 2.350
Hf -1.360 1.775 0.837
Hf -6.052 1.660 1.192
Hf -3.464 0.213 -0.668
B 0.094 2.628 2.505
Hf -3.948 3.222 2.697
Hf -6.511 -1.216 -0.748
Si -4.197 -2.400 0.583
```

Total DFT energy (no corrections)   -107.29 eV/cell
Volume   223.8 Å³/cell
ΔE_f (raw)   -0.2881 eV per atom
Space group   C2/c



[2]
Compound: HfSiB2
Source: Alexandria via LeMat-Bulk
Functional: GGA-PBE
Structure: optimized geometry

Cell and atoms, written as extended XYZ:
```
8
Lattice="5.854 0.000 0.000 0.000 5.854 0.000 2.927 2.927 2.956" Properties=species:S:1:pos:R:3 pbc="T T T"
B 1.753 4.390 0.739
Si 2.927 2.927 0.000
B 4.101 1.463 0.739
Si 2.927 5.854 1.478
B 7.317 7.028 2.217
B 4.390 4.680 2.217
Hf 5.854 2.927 1.478
Hf 0.000 0.000 0.000
```

Total DFT energy (no corrections)   -56.25 eV/cell
Volume   101.3 Å³/cell
ΔE_f (raw)   0.1519 eV per atom
Space group   I-42d



[3]
Compound: HfSi2B
Source: Alexandria via LeMat-Bulk
Functional: GGA-PBE
Structure: optimized geometry

Cell and atoms, written as extended XYZ:
```
8
Lattice="-3.379 5.379 0.479 -3.203 -2.452 4.930 -1.356 2.521 4.487" Properties=species:S:1:pos:R:3 pbc="T T T"
Hf 0.000 0.000 0.000
Si -2.574 3.244 1.998
Si -6.514 4.653 7.693
Hf -4.014 4.681 3.835
Si -3.041 0.212 4.302
B -3.926 0.766 6.061
Si -3.749 2.787 5.799
B -3.291 1.464 2.705
```

Total DFT energy (no corrections)   -55.45 eV/cell
Volume   115.1 Å³/cell
ΔE_f (raw)   -0.0624 eV per atom
Space group   I-42d



[4]
Compound: Hf3SiB
Source: Alexandria via LeMat-Bulk
Functional: GGA-PBE
Structure: optimized geometry

Cell and atoms, written as extended XYZ:
```
5
Lattice="4.495 0.000 0.000 0.000 4.495 0.000 0.000 0.000 4.495" Properties=species:S:1:pos:R:3 pbc="T T T"
Hf 0.000 0.000 2.247
Hf 2.247 0.000 0.000
B 0.000 0.000 0.000
Hf 0.000 2.247 0.000
Si 2.247 2.247 2.247
```

Total DFT energy (no corrections)   -43.34 eV/cell
Energy relative to the lowest polymorph listed for this composition   0.000 eV/atom
Volume   90.8 Å³/cell
ΔE_f (raw)   -0.2750 eV per atom
Space group   Pm-3m



[5]
Compound: HfTlSiB2
Source: Alexandria via LeMat-Bulk
Functional: GGA-PBE
Structure: optimized geometry

Cell and atoms, written as extended XYZ:
```
5
Lattice="4.567 0.000 0.000 0.000 5.187 0.000 0.000 0.000 4.567" Properties=species:S:1:pos:R:3 pbc="T T T"
B 0.000 0.000 2.283
Si 0.000 2.594 0.000
Hf 0.000 0.000 0.000
B 2.283 0.000 0.000
Tl 2.283 2.594 2.283
```

Total DFT energy (no corrections)   -24.71 eV/cell
Volume   108.2 Å³/cell
ΔE_f (raw)   1.2765 eV per atom
Space group   P4/mmm



[6]
Compound: Hf2VSiB
Source: Alexandria via LeMat-Bulk
Functional: GGA-PBE
Structure: optimized geometry

Cell and atoms, written as extended XYZ:
```
5
Lattice="-3.711 0.714 -3.196 2.068 -1.335 -2.700 -1.695 -4.551 0.951" Properties=species:S:1:pos:R:3 pbc="T T T"
V -1.669 -2.586 -2.472
Hf -1.855 0.357 -1.598
Si 0.000 0.000 0.000
Hf -0.848 -2.275 0.476
B 1.034 -0.667 -1.350
```

Total DFT energy (no corrections)   -36.99 eV/cell
Volume   89.5 Å³/cell
ΔE_f (raw)   0.8265 eV per atom
Space group   P4/mmm